1.
The following is a DFT calculation (PBE-GGA) of a geometry-optimized TiAu2 structure.

Summary:
The value obtained for the total moment is 0.0 μB/f.u. Its electronic total energy is -15.4 eV/f.u. The density of states at the Fermi level is 0.87 states/eV per atom.

Cell: 8.438 4.900 6.291 Å, 90.00 125.71 90.00°
Element x y z (fractional)
1 Ti 0.000 0.124 0.250
2 Ti 0.000 0.876 0.750
3 Ti 0.500 0.376 0.750
4 Ti 0.500 0.624 0.250
5 Au 0.164 0.369 0.740
6 Au 0.164 0.631 0.240
7 Au 0.336 0.131 0.260
8 Au 0.336 0.869 0.760
9 Au 0.664 0.131 0.240
10 Au 0.664 0.869 0.740
11 Au 0.836 0.369 0.760
12 Au 0.836 0.631 0.260

2.
The following is a DFT calculation (PBE-GGA) of a geometry-optimized Ti3Au structure.

Summary:
The value obtained for the total moment is 1.4 μB/f.u. The distance to the lowest polymorph of the same formula is 214 meV per atom. Its electronic total energy is -27.5 eV/f.u. The density of states at the Fermi level is 1.39 states/eV per atom.

Cell: 6.447 6.447 6.447 Å, 90.00 90.00 90.00°
Element x y z (fractional)
1 Ti 0.000 0.000 0.000
2 Ti 0.000 0.500 0.500
3 Ti 0.250 0.250 0.250
4 Ti 0.250 0.250 0.750
5 Ti 0.250 0.750 0.250
6 Ti 0.250 0.750 0.750
7 Ti 0.500 0.000 0.500
8 Ti 0.500 0.500 0.000
9 Ti 0.750 0.250 0.250
10 Ti 0.750 0.250 0.750
11 Ti 0.750 0.750 0.250
12 Ti 0.750 0.750 0.750
13 Au 0.000 0.000 0.500
14 Au 0.000 0.500 0.000
15 Au 0.500 0.000 0.000
16 Au 0.500 0.500 0.500

3.
The following is a DFT calculation (PBE-GGA) of a geometry-optimized Ti3Au structure.

Summary:
The value obtained for the total moment is 0.0 μB/f.u. The distance to the lowest polymorph of the same formula is 0 meV per atom. Its electronic total energy is -28.4 eV/f.u. The density of states at the Fermi level is 1.33 states/eV per atom.

Cell: 5.106 5.106 5.106 Å, 90.00 90.00 90.00°
Element x y z (fractional)
1 Ti 0.000 0.250 0.500
2 Ti 0.000 0.750 0.500
3 Ti 0.250 0.500 0.000
4 Ti 0.500 0.000 0.250
5 Ti 0.500 0.000 0.750
6 Ti 0.750 0.500 0.000
7 Au 0.000 0.000 0.000
8 Au 0.500 0.500 0.500

4.
The following is a DFT calculation (PBE-GGA) of a geometry-optimized TiAu4 structure.

Summary:
The value obtained for the total moment is 0.0 μB/f.u. Its electronic total energy is -22.1 eV/f.u. The density of states at the Fermi level is 0.53 states/eV per atom.

Cell: 7.618 4.954 4.982 Å, 90.00 109.86 90.00°
Element x y z (fractional)
1 Ti 0.000 0.000 0.000
2 Ti 0.500 0.500 0.000
3 Au 0.102 0.500 0.806
4 Au 0.195 0.000 0.599
5 Au 0.305 0.500 0.401
6 Au 0.398 0.000 0.194
7 Au 0.602 0.000 0.806
8 Au 0.695 0.500 0.599
9 Au 0.805 0.000 0.401
10 Au 0.898 0.500 0.194

5.
The following is a DFT calculation (PBE-GGA) of a geometry-optimized Ti2TlAu2 structure.

Summary:
The value obtained for the total moment is 1.6 μB/f.u. Its electronic total energy is -24.7 eV/f.u. The density of states at the Fermi level is 0.65 states/eV per atom.

Cell: 4.300 4.300 11.580 Å, 90.00 90.00 90.00°
Element x y z (fractional)
1 Ti 0.000 0.500 0.250
2 Ti 0.000 0.500 0.750
3 Ti 0.500 0.000 0.250
4 Ti 0.500 0.000 0.750
5 Tl 0.000 0.000 0.000
6 Tl 0.500 0.500 0.500
7 Au 0.000 0.000 0.385
8 Au 0.000 0.000 0.615
9 Au 0.500 0.500 0.115
10 Au 0.500 0.500 0.885

6.
The following is a DFT calculation (PBE-GGA) of a geometry-optimized Ti3TlAu structure.

Summary:
The value obtained for the total moment is 0.0 μB/f.u. The distance to the lowest polymorph of the same formula is 0 meV per atom. Its electronic total energy is -26.4 eV/f.u. The density of states at the Fermi level is 0.73 states/eV per atom.

Cell: 4.907 4.907 4.907 Å, 90.00 90.00 90.00°
Element x y z (fractional)
1 Ti 0.000 0.000 0.500
2 Ti 0.000 0.500 0.000
3 Ti 0.500 0.000 0.000
4 Tl 0.500 0.500 0.500
5 Au 0.000 0.000 0.000

7.
The following is a DFT calculation (PBE-GGA) of a geometry-optimized TiTl2Au structure.

Summary:
The value obtained for the total moment is 1.1 μB/f.u. The distance to the lowest polymorph of the same formula is 0 meV per atom. Its electronic total energy is -14.8 eV/f.u. The density of states at the Fermi level is 1.02 states/eV per atom.

Cell: 7.023 7.023 7.023 Å, 90.00 90.00 90.00°
Element x y z (fractional)
1 Ti 0.000 0.000 0.000
2 Ti 0.000 0.500 0.500
3 Ti 0.500 0.000 0.500
4 Ti 0.500 0.500 0.000
5 Tl 0.250 0.250 0.250
6 Tl 0.250 0.250 0.750
7 Tl 0.250 0.750 0.250
8 Tl 0.250 0.750 0.750
9 Tl 0.750 0.250 0.250
10 Tl 0.750 0.250 0.750
11 Tl 0.750 0.750 0.250
12 Tl 0.750 0.750 0.750
13 Au 0.000 0.000 0.500
14 Au 0.000 0.500 0.000
15 Au 0.500 0.000 0.000
16 Au 0.500 0.500 0.500

8.
The following is a DFT calculation (PBE-GGA) of a geometry-optimized TiTl2Au structure.

Summary:
The value obtained for the total moment is 0.9 μB/f.u. The distance to the lowest polymorph of the same formula is 22 meV per atom. Its electronic total energy is -14.8 eV/f.u. The density of states at the Fermi level is 0.67 states/eV per atom.

Cell: 7.811 7.811 6.086 Å, 90.00 90.00 90.00°
Element x y z (fractional)
1 Ti 0.000 0.000 0.000
2 Ti 0.000 0.500 0.250
3 Ti 0.500 0.000 0.750
4 Ti 0.500 0.500 0.500
5 Tl 0.245 0.250 0.625
6 Tl 0.250 0.745 0.875
7 Tl 0.250 0.755 0.375
8 Tl 0.255 0.250 0.125
9 Tl 0.745 0.750 0.125
10 Tl 0.750 0.245 0.375
11 Tl 0.750 0.255 0.875
12 Tl 0.755 0.750 0.625
13 Au 0.000 0.000 0.500
14 Au 0.000 0.500 0.750
15 Au 0.500 0.000 0.250
16 Au 0.500 0.500 0.000

9.
The following is a DFT calculation (PBE-GGA) of a geometry-optimized Ti3TlAu structure.

Summary:
The value obtained for the total moment is 4.4 μB/f.u. The distance to the lowest polymorph of the same formula is 655 meV per atom. Its electronic total energy is -23.1 eV/f.u. The density of states at the Fermi level is 0.75 states/eV per atom.

Cell: 5.072 5.072 5.072 Å, 90.00 90.00 90.00°
Element x y z (fractional)
1 Ti 0.000 0.000 0.500
2 Ti 0.000 0.500 0.000
3 Ti 0.500 0.000 0.000
4 Tl 0.000 0.000 0.000
5 Au 0.500 0.500 0.500

10.
The following is a DFT calculation (PBE-GGA) of a geometry-optimized Ti2TlAu2 structure.

Summary:
The value obtained for the total moment is 2.1 μB/f.u. Its electronic total energy is -24.2 eV/f.u. The density of states at the Fermi level is 1.10 states/eV per atom.

Cell: 4.098 4.098 12.259 Å, 90.00 90.00 90.00°
Element x y z (fractional)
1 Ti 0.000 0.000 0.102
2 Ti 0.000 0.000 0.898
3 Ti 0.500 0.500 0.398
4 Ti 0.500 0.500 0.602
5 Tl 0.000 0.000 0.500
6 Tl 0.500 0.500 0.000
7 Au 0.000 0.500 0.250
8 Au 0.000 0.500 0.750
9 Au 0.500 0.000 0.250
10 Au 0.500 0.000 0.750

11.
The following is a DFT calculation (PBE-GGA) of a geometry-optimized TmTiTlAu structure.

Summary:
The value obtained for the total moment is 1.5 μB/f.u. Its electronic total energy is -19.1 eV/f.u. The density of states at the Fermi level is 0.73 states/eV per atom.

Cell: 7.027 7.027 7.027 Å, 90.00 90.00 90.00°
Element x y z (fractional)
1 Tm 0.000 0.000 0.000
2 Tm 0.000 0.500 0.500
3 Tm 0.500 0.000 0.500
4 Tm 0.500 0.500 0.000
5 Ti 0.000 0.000 0.500
6 Ti 0.000 0.500 0.000
7 Ti 0.500 0.000 0.000
8 Ti 0.500 0.500 0.500
9 Tl 0.250 0.250 0.750
10 Tl 0.250 0.750 0.250
11 Tl 0.750 0.250 0.250
12 Tl 0.750 0.750 0.750
13 Au 0.250 0.250 0.250
14 Au 0.250 0.750 0.750
15 Au 0.750 0.250 0.750
16 Au 0.750 0.750 0.250

12.
The following is a DFT calculation (PBE-GGA) of a geometry-optimized YTiTlAu structure.

Summary:
The value obtained for the total moment is 1.5 μB/f.u. Its electronic total energy is -21.1 eV/f.u. The density of states at the Fermi level is 0.77 states/eV per atom.

Cell: 7.090 7.090 7.090 Å, 90.00 90.00 90.00°
Element x y z (fractional)
1 Y 0.000 0.000 0.000
2 Y 0.000 0.500 0.500
3 Y 0.500 0.000 0.500
4 Y 0.500 0.500 0.000
5 Ti 0.000 0.000 0.500
6 Ti 0.000 0.500 0.000
7 Ti 0.500 0.000 0.000
8 Ti 0.500 0.500 0.500
9 Tl 0.250 0.250 0.250
10 Tl 0.250 0.750 0.750
11 Tl 0.750 0.250 0.750
12 Tl 0.750 0.750 0.250
13 Au 0.250 0.250 0.750
14 Au 0.250 0.750 0.250
15 Au 0.750 0.250 0.250
16 Au 0.750 0.750 0.750

13.
The following is a DFT calculation (PBE-GGA) of a geometry-optimized Tm2TiAu6 structure.

Summary:
The value obtained for the total moment is 0.0 μB/f.u. Its electronic total energy is -41.8 eV/f.u. The density of states at the Fermi level is 0.76 states/eV per atom.

Cell: 8.568 8.568 5.104 Å, 98.50 98.50 76.75°
Element x y z (fractional)
1 Tm 0.043 0.289 0.079
2 Tm 0.289 0.043 0.579
3 Tm 0.711 0.957 0.421
4 Tm 0.957 0.711 0.921
5 Ti 0.379 0.621 0.750
6 Ti 0.621 0.379 0.250
7 Au 0.082 0.799 0.480
8 Au 0.159 0.413 0.641
9 Au 0.201 0.918 0.020
10 Au 0.277 0.511 0.189
11 Au 0.413 0.159 0.141
12 Au 0.489 0.723 0.311
13 Au 0.511 0.277 0.689
14 Au 0.587 0.841 0.859
15 Au 0.723 0.489 0.811
16 Au 0.799 0.082 0.980
17 Au 0.841 0.587 0.359
18 Au 0.918 0.201 0.520

14.
The following is a DFT calculation (PBE-GGA) of a geometry-optimized TmTiAu structure.

Summary:
The value obtained for the total moment is 0.6 μB/f.u. Its electronic total energy is -17.0 eV/f.u. The density of states at the Fermi level is 1.04 states/eV per atom.

Cell: 4.306 4.306 7.043 Å, 90.00 90.00 90.00°
Element x y z (fractional)
1 Tm 0.250 0.250 0.146
2 Tm 0.750 0.750 0.854
3 Ti 0.250 0.750 0.500
4 Ti 0.750 0.250 0.500
5 Au 0.250 0.250 0.743
6 Au 0.750 0.750 0.257

15.
The following is a DFT calculation (PBE-GGA) of a geometry-optimized TmTiZnAu structure.

Summary:
The value obtained for the total moment is 1.3 μB/f.u. Its electronic total energy is -18.3 eV/f.u. The density of states at the Fermi level is 0.97 states/eV per atom.

Cell: 6.785 6.785 6.785 Å, 90.00 90.00 90.00°
Element x y z (fractional)
1 Tm 0.000 0.000 0.000
2 Tm 0.000 0.500 0.500
3 Tm 0.500 0.000 0.500
4 Tm 0.500 0.500 0.000
5 Ti 0.000 0.000 0.500
6 Ti 0.000 0.500 0.000
7 Ti 0.500 0.000 0.000
8 Ti 0.500 0.500 0.500
9 Zn 0.250 0.250 0.250
10 Zn 0.250 0.750 0.750
11 Zn 0.750 0.250 0.750
12 Zn 0.750 0.750 0.250
13 Au 0.250 0.250 0.750
14 Au 0.250 0.750 0.250
15 Au 0.750 0.250 0.250
16 Au 0.750 0.750 0.750

16.
The following is a DFT calculation (PBE-GGA) of a geometry-optimized UTiAu structure.

Summary:
The value obtained for the total moment is 0.0 μB/f.u. Its electronic total energy is -22.6 eV/f.u. The density of states at the Fermi level is 1.52 states/eV per atom.

Cell: 3.390 3.390 20.983 Å, 90.00 90.00 90.00°
Element x y z (fractional)
1 U 0.000 0.000 0.221
2 U 0.000 0.000 0.779
3 U 0.500 0.500 0.279
4 U 0.500 0.500 0.721
5 Ti 0.000 0.000 0.371
6 Ti 0.000 0.000 0.629
7 Ti 0.500 0.500 0.129
8 Ti 0.500 0.500 0.871
9 Au 0.000 0.000 0.064
10 Au 0.000 0.000 0.936
11 Au 0.500 0.500 0.436
12 Au 0.500 0.500 0.564

17.
The following is a DFT calculation (PBE-GGA) of a geometry-optimized UTi2Au structure.

Summary:
The value obtained for the total moment is 1.6 μB/f.u. The distance to the lowest polymorph of the same formula is 0 meV per atom. Its electronic total energy is -30.7 eV/f.u. The density of states at the Fermi level is 1.84 states/eV per atom.

Cell: 4.839 4.839 3.044 Å, 90.00 90.00 90.00°
Element x y z (fractional)
1 U 0.000 0.000 0.000
2 Ti 0.000 0.500 0.500
3 Ti 0.500 0.000 0.500
4 Au 0.500 0.500 0.000

18.
The following is a DFT calculation (PBE-GGA) of a geometry-optimized UTi2Au structure.

Summary:
The value obtained for the total moment is 1.6 μB/f.u. The distance to the lowest polymorph of the same formula is 41 meV per atom. Its electronic total energy is -30.5 eV/f.u. The density of states at the Fermi level is 1.69 states/eV per atom.

Cell: 3.325 3.325 6.497 Å, 90.00 90.00 90.00°
Element x y z (fractional)
1 U 0.000 0.000 0.000
2 Ti 0.500 0.500 0.242
3 Ti 0.500 0.500 0.758
4 Au 0.000 0.000 0.500

19.
The following is a DFT calculation (PBE-GGA) of a geometry-optimized UTiAu4 structure.

Summary:
The value obtained for the total moment is 2.6 μB/f.u. Its electronic total energy is -33.9 eV/f.u. The density of states at the Fermi level is 1.47 states/eV per atom.

Cell: 3.473 3.473 9.573 Å, 90.00 90.00 90.00°
Element x y z (fractional)
1 U 0.000 0.000 0.000
2 Ti 0.500 0.500 0.500
3 Au 0.000 0.000 0.352
4 Au 0.000 0.000 0.648
5 Au 0.500 0.500 0.192
6 Au 0.500 0.500 0.808

20.
The following is a DFT calculation (PBE-GGA) of a geometry-optimized Ti3VAu structure.

Summary:
The value obtained for the total moment is 4.1 μB/f.u. The distance to the lowest polymorph of the same formula is 466 meV per atom. Its electronic total energy is -30.9 eV/f.u. The density of states at the Fermi level is 1.55 states/eV per atom.

Cell: 4.870 4.870 4.870 Å, 90.00 90.00 90.00°
Element x y z (fractional)
1 Ti 0.000 0.000 0.500
2 Ti 0.000 0.500 0.000
3 Ti 0.500 0.000 0.000
4 V 0.500 0.500 0.500
5 Au 0.000 0.000 0.000